Entry 1:
A plane-wave DFT calculation with PBE-GGA was carried out for CeErSc after structural relaxation.

Values from the calculation:
Crystal system: tetragonal
Distance to the lowest polymorph of the same formula in meV per atom: 192
Theoretical density in g/cm3: 6.88
Space-group type: P4/nmm (129)

Cell lengths 4.4921, 4.4921, 8.4325 Å; angles 90.00, 90.00, 90.00 degrees
Positions (direct):
Er: 0.3365 0.8365 0.8488
Er: 0.8365 0.3365 0.1512
Sc: 0.3365 0.8365 0.2394
Sc: 0.8365 0.3365 0.7606
Ce: 0.8364 0.8364 0.5000
Ce: 0.3364 0.3364 0.5000


Entry 2:
A plane-wave DFT calculation with PBE-GGA was carried out for CeEr3Sc8 after structural relaxation.

Values from the calculation:
Crystal system: tetragonal
Theoretical density in g/cm3: 4.73
Space-group type: I-42m (121)
E_tot in Ha/atom: -0.1915

Cell lengths 7.8167, 7.8167, 7.8167 Å; angles 95.22, 117.04, 117.04 degrees
Positions (direct):
Ce: 0.0000 0.0000 0.0000
Er: 0.5000 0.7500 0.2500
Er: 0.5000 0.2500 0.7500
Er: 0.0000 0.5000 0.5000
Sc: 0.4557 0.1933 0.1933
Sc: 0.5443 0.7376 0.7376
Sc: 0.0000 0.8067 0.2624
Sc: 0.0000 0.2624 0.8067
Sc: 0.2494 0.3586 0.3586
Sc: 0.7506 0.1092 0.1092
Sc: 0.0000 0.6414 0.8908
Sc: 0.0000 0.8908 0.6414


Entry 3:
A plane-wave DFT calculation with PBE-GGA was carried out for CeEr8Sc2 after structural relaxation.

Values from the calculation:
Crystal system: monoclinic
Theoretical density in g/cm3: 7.64
Space-group type: C2/m (12)
E_tot in Ha/atom: -0.1781

Cell lengths 5.3935, 9.9604, 9.9604 Å; angles 39.64, 92.53, 92.53 degrees
Each line ends with the local moment (μB).
Positions (direct):
Ce: 0.0000 0.0000 0.0000  0.91
Er: 0.2663 0.1288 0.5984  -0.02
Er: 0.2663 0.5984 0.1288  -0.02
Er: 0.7337 0.8712 0.4016  -0.02
Er: 0.2380 0.5486 0.5486  0.00
Er: 0.7337 0.4016 0.8712  -0.02
Er: 0.2357 0.1918 0.1918  -0.01
Er: 0.7643 0.8082 0.8082  -0.01
Er: 0.7620 0.4514 0.4514  0.00
Sc: 0.7523 0.2853 0.2853  -0.05
Sc: 0.2477 0.7147 0.7147  -0.05


Entry 4:
A plane-wave DFT calculation with PBE-GGA was carried out for CeEr3Sc3 after structural relaxation.

Values from the calculation:
Crystal system: triclinic
Theoretical density in g/cm3: 6.30
Space-group type: P-1 (2)
E_tot in Ha/atom: -0.1960

Cell lengths 5.8784, 5.8785, 14.0997 Å; angles 77.99, 77.94, 59.97 degrees
Each line ends with the local moment (μB).
Positions (direct):
Ce: 0.6666 0.6666 0.0001  -1.16
Ce: 0.3334 0.3334 0.9999  -1.16
Er: 0.9297 0.2631 0.2106  -0.07
Er: 0.5966 0.9297 0.2106  -0.07
Er: 0.2630 0.5967 0.2106  -0.07
Er: 0.7370 0.4033 0.7894  -0.07
Er: 0.4034 0.0703 0.7894  -0.07
Er: 0.0703 0.7369 0.7894  -0.07
Sc: 0.1973 0.8641 0.4074  -0.01
Sc: 0.5311 0.1974 0.4074  -0.01
Sc: 0.8641 0.5312 0.4074  -0.01
Sc: 0.1359 0.4688 0.5926  -0.01
Sc: 0.4689 0.8026 0.5926  -0.01
Sc: 0.8027 0.1359 0.5926  -0.01


Entry 5:
A plane-wave DFT calculation with PBE-GGA was carried out for Ce4ErSc after structural relaxation.

Values from the calculation:
Crystal system: cubic
Theoretical density in g/cm3: 7.55
Space-group type: F-43m (216)
E_tot in Ha/atom: -0.2031

Cell lengths 6.2181, 6.2181, 6.2181 Å; angles 60.00, 60.00, 60.00 degrees
Each line ends with the local moment (μB).
Positions (direct):
Sc: 0.0000 0.0000 0.0000  0.07
Ce: 0.6271 0.6271 0.1186  0.66
Ce: 0.6271 0.1186 0.6271  0.66
Ce: 0.6271 0.6271 0.6271  0.66
Ce: 0.1186 0.6271 0.6271  0.66
Er: 0.2500 0.2500 0.2500  0.07


Entry 6:
A plane-wave DFT calculation with PBE-GGA was carried out for CeEr2ScSe4 after structural relaxation.

Values from the calculation:
Crystal system: monoclinic
Theoretical density in g/cm3: 7.41
Space-group type: P2/m (10)
E_form (uncorrected) in eV per atom: -1.687

Cell lengths 4.0151, 7.0380, 7.0098 Å; angles 109.02, 90.00, 90.00 degrees
Each line ends with the local moment (μB).
Positions (direct):
Ce: 0.5000 0.5000 0.0000  0.72
Er: 0.5000 0.0000 0.5000  0.00
Er: 0.0000 0.5000 0.5000  0.03
Sc: 0.0000 0.0000 0.0000  0.05
Se: 0.5000 0.2385 0.2473  0.00
Se: 0.5000 0.7615 0.7527  0.00
Se: 0.0000 0.2370 0.7442  0.00
Se: 0.0000 0.7630 0.2558  0.00


Entry 7:
A plane-wave DFT calculation with PBE-GGA was carried out for Ce2ErScSe4 after structural relaxation.

Values from the calculation:
Crystal system: monoclinic
Theoretical density in g/cm3: 6.97
Space-group type: P2/m (10)
E_form (uncorrected) in eV per atom: -1.734

Cell lengths 4.0296, 6.9951, 7.2117 Å; angles 108.78, 90.00, 90.00 degrees
Each line ends with the local moment (μB).
Positions (direct):
Ce: 0.5000 0.0000 0.5000  0.84
Ce: 0.0000 0.5000 0.5000  0.89
Er: 0.5000 0.5000 0.0000  -0.01
Sc: 0.0000 0.0000 0.0000  -0.03
Se: 0.5000 0.2365 0.2270  -0.01
Se: 0.5000 0.7635 0.7730  -0.01
Se: 0.0000 0.2506 0.7693  -0.01
Se: 0.0000 0.7494 0.2307  -0.01


Entry 8:
A plane-wave DFT calculation with PBE-GGA was carried out for Ce2ErScSe5 after structural relaxation.

Values from the calculation:
Crystal system: tetragonal
Theoretical density in g/cm3: 5.36
Space-group type: P4/mmm (123)
E_form (uncorrected) in eV per atom: -1.274

Cell lengths 5.1376, 5.1376, 10.4127 Å; angles 90.00, 90.00, 90.00 degrees
Each line ends with the local moment (μB).
Positions (direct):
Ce: 0.5000 0.5000 0.2944  1.31
Ce: 0.5000 0.5000 0.7056  1.31
Er: 0.0000 0.0000 0.5000  0.08
Sc: 0.0000 0.0000 0.0000  0.23
Se: 0.0000 0.5000 0.5000  -0.01
Se: 0.5000 0.0000 0.5000  -0.01
Se: 0.0000 0.0000 0.7622  -0.01
Se: 0.0000 0.0000 0.2378  -0.01
Se: 0.5000 0.5000 0.0000  -0.02


no.,total magnetization (μB per formula unit)
1,0.0
2,0.0
3,0.8
4,1.9
5,3.7
6,1.0
7,2.1
8,3.4